# 1
GGA-PBEsol La2FeSe2O2, relaxed; formation energy (no corrections) = -2.183 eV/atom; calculated volume = 133 Å³/cell; space-group type = C2/m; DOS at the Fermi energy = 1.736 states/eV/cell
1.0
-2.172 -1.301 -3.033
2.949 -4.306 -2.839
-2.250 -6.024 1.621
Se Fe La O
2 1 2 2
Cartesian
0.686 -5.894 -3.110 Se
-2.159 -5.735 -1.140 Se
0.000 0.000 0.000 Fe
0.052 -3.347 -1.175 La
-1.524 -8.283 -3.076 La
-0.436 -8.782 -1.068 O
-1.037 -2.848 -3.183 O

# 2
GGA-PBEsol La4FeSe6O, relaxed; formation energy (no corrections) = -1.903 eV/atom; calculated volume = 548 Å³/cell; space-group type = P6_3mc
1.0
6.903 0.020 0.012
-0.028 9.572 0.016
-0.028 4.772 8.296
La Fe Se O
8 2 12 2
Cartesian
4.490 6.726 1.635 La
1.027 7.576 6.653 La
4.490 4.762 5.022 La
4.831 9.548 5.536 La
1.016 11.494 6.660 La
1.398 4.756 2.753 La
1.027 9.541 3.266 La
4.501 2.809 1.628 La
0.061 14.316 8.296 Fe
3.512 14.326 8.302 Fe
1.827 4.752 6.470 Se
6.496 6.768 3.922 Se
5.272 6.329 7.385 Se
3.027 9.539 7.841 Se
3.041 7.546 4.373 Se
1.845 1.545 0.895 Se
6.507 2.770 3.915 Se
3.029 11.544 4.380 Se
5.272 9.555 1.821 Se
6.504 4.775 0.455 Se
5.253 12.762 7.396 Se
1.827 7.978 0.906 Se
0.230 9.535 5.525 O
3.700 4.763 2.761 O

# 3
GGA-PBEsol SrLaVFeO6, relaxed; formation energy (no corrections) = -2.604 eV/atom; calculated volume = 108 Å³/cell; space-group type = F-43m; DOS at the Fermi energy = 1.215 states/eV/cell
1.0
5.348 -0.030 -0.043
-2.647 4.647 0.043
-2.647 -1.549 4.381
O La Fe Sr V
6 1 1 1 1
Cartesian
0.026 1.539 2.187 O
0.026 4.626 0.025 O
-1.319 2.326 0.025 O
1.372 3.839 2.187 O
1.346 2.311 0.004 O
-1.293 3.854 2.208 O
5.348 -0.030 -0.043 La
0.026 -0.015 3.275 Fe
-2.647 1.549 2.212 Sr
0.026 3.082 1.106 V

# 4
GGA-PBEsol LaTaZnFeO6, relaxed; formation energy (no corrections) = -2.306 eV/atom; calculated volume = 243 Å³/cell; space-group type = Pc; DOS at the Fermi energy = 9.622 states/eV/cell
1.0
5.409 0.000 0.009
0.000 5.821 0.000
-0.076 0.000 7.714
La O Ta Zn Fe
2 12 2 2 2
Cartesian
0.095 1.848 1.943 La
2.761 3.974 5.804 La
1.569 3.368 3.402 O
3.749 5.528 4.268 O
1.689 3.147 0.380 O
0.992 0.310 3.528 O
4.679 4.207 1.977 O
1.082 0.293 0.407 O
0.386 4.311 5.748 O
1.936 1.614 5.829 O
3.659 5.512 7.389 O
3.129 1.511 1.896 O
4.355 2.675 4.241 O
4.235 2.453 7.263 O
2.629 1.238 7.702 Ta
-0.038 4.583 3.841 Ta
0.050 2.073 5.759 Zn
2.793 3.748 1.907 Zn
0.048 4.485 0.034 Fe
2.715 1.337 3.895 Fe

# 5
GGA-PBEsol LaFeWO6, relaxed; formation energy (no corrections) = -2.244 eV/atom; calculated volume = 230 Å³/cell; space-group type = Pc; DOS at the Fermi energy = 3.398 states/eV/cell
1.0
-5.412 0.161 -0.233
-0.108 -5.374 -1.204
-0.373 -1.675 7.510
O La W Fe
12 2 2 2
Cartesian
-2.790 -5.256 4.654 O
-4.141 -3.261 3.306 O
-3.245 -4.290 0.822 O
-4.247 -3.993 6.535 O
-1.363 -3.633 2.807 O
-1.257 -2.921 -0.426 O
-0.674 -2.642 5.268 O
-1.500 -0.076 0.126 O
-5.254 -1.584 1.399 O
-1.616 -0.925 3.464 O
-4.498 -6.059 2.593 O
-4.609 -6.711 5.976 O
-3.063 -2.281 5.252 La
-0.233 -4.679 0.907 La
-0.240 -2.258 3.417 W
-3.183 -5.539 6.491 W
-0.458 -3.033 7.196 Fe
-3.031 -4.767 2.730 Fe

# 6
GGA-PBEsol La2ZnFeO6, relaxed; formation energy (no corrections) = -2.455 eV/atom; calculated volume = 114 Å³/cell; space-group type = R-3; DOS at the Fermi energy = 5.928 states/eV/cell
1.0
5.390 -0.006 -0.004
2.581 4.732 -0.004
2.581 1.530 4.478
O Zn Fe La
6 1 1 2
Cartesian
6.490 4.260 1.044 O
4.062 1.997 3.425 O
6.851 2.172 3.115 O
3.701 4.085 1.355 O
5.192 4.558 3.691 O
5.360 1.699 0.779 O
5.276 3.128 2.235 Zn
0.000 0.000 0.000 Fe
2.626 1.557 1.112 La
7.926 4.700 3.357 La

# 7
GGA-PBEsol La2FeOs, relaxed; calculated volume = 83 Å³/cell; space-group type = I-4m2; DOS at the Fermi energy = 4.483 states/eV/cell; E_form = 41.6 kJ/mol of atoms
1.0
-3.535 -0.326 2.135
0.038 -4.104 -0.562
4.267 1.678 3.303
Os Fe La
1 1 2
Cartesian
-1.748 -2.215 0.786 Os
1.278 -2.320 1.763 Fe
0.000 0.000 0.000 La
-0.508 -0.431 3.112 La

# 8
GGA-PBEsol La3FeOs, relaxed; calculated volume = 122 Å³/cell; space-group type = Pm-3m; DOS at the Fermi energy = 4.153 states/eV/cell; E_form = 48.8 kJ/mol of atoms
1.0
4.966 0.000 0.000
0.000 4.966 0.000
0.000 0.000 4.966
Fe La Os
1 3 1
Cartesian
0.000 0.000 0.000 Fe
0.000 0.000 2.483 La
2.483 0.000 0.000 La
0.000 2.483 0.000 La
2.483 2.483 2.483 Os